1.
This record from OQMD via LeMat-Bulk describes a relaxed structure of BeAlCd. The functional is GGA-PBE.

## Properties
energy above the lowest structure with this stoichiometry	0.278	eV per atom
E	-2.28	eV/atom

Geometry as POSCAR:
```
BeAlCd
1.0
5.9850 0.0000 0.0000
0.0000 5.9850 0.0000
0.0000 0.0000 5.9850
Be Al Cd
4 4 4
Direct
0.0000 0.0000 0.0000 Be
0.0000 0.5000 0.5000 Be
0.5000 0.0000 0.5000 Be
0.5000 0.5000 0.0000 Be
0.0000 0.0000 0.5000 Al
0.0000 0.5000 0.0000 Al
0.5000 0.0000 0.0000 Al
0.5000 0.5000 0.5000 Al
0.2500 0.2500 0.7500 Cd
0.2500 0.7500 0.2500 Cd
0.7500 0.2500 0.2500 Cd
0.7500 0.7500 0.7500 Cd
```

2.
This record from OQMD via LeMat-Bulk describes a relaxed structure of PrPb. The functional is GGA-PBE.

## Properties
E	-4.67	eV/atom
spin magnetization	0.0	μB per formula unit

Geometry as POSCAR:
```
PrPb
1.0
6.5050 0.0000 0.0000
0.0000 6.5050 0.0000
0.0000 0.0000 6.5050
Pr Pb
4 4
Direct
0.0000 0.0000 0.0000 Pr
0.0000 0.5000 0.5000 Pr
0.5000 0.0000 0.5000 Pr
0.5000 0.5000 0.0000 Pr
0.0000 0.0000 0.5000 Pb
0.0000 0.5000 0.0000 Pb
0.5000 0.0000 0.0000 Pb
0.5000 0.5000 0.5000 Pb
```

3.
This record from OQMD via LeMat-Bulk describes a relaxed structure of Cs2TmHgSb2. The functional is GGA-PBE.

## Properties
E	-2.80	eV/atom
spin magnetization	0.9	μB per formula unit

Geometry as POSCAR:
```
Cs2TmHgSb2
1.0
5.0682 0.0000 0.0000
-2.5341 4.3892 0.0000
0.0000 0.0000 12.1458
Cs Tm Hg Sb
2 1 1 2
Direct
0.0000 0.0000 0.2349 Cs
0.0000 0.0000 0.7651 Cs
0.3333 0.6667 0.5000 Tm
0.6667 0.3333 0.0000 Hg
0.3333 0.6667 0.0000 Sb
0.6667 0.3333 0.5000 Sb
```

4.
This record from OQMD via LeMat-Bulk describes a relaxed structure of In8Ir2Se. The functional is GGA-PBE.

## Properties
E	-4.15	eV/atom
spin magnetization	0.0	μB per formula unit

Geometry as POSCAR:
```
In8Ir2Se
1.0
10.0509 0.0000 0.0000
0.0000 10.0509 0.0000
0.0000 0.0000 10.2264
In Ir Se
32 8 4
Direct
0.0000 0.0000 0.1643 In
0.0000 0.0000 0.8357 In
0.0530 0.2966 0.2993 In
0.0530 0.2966 0.7007 In
0.0954 0.9046 0.5000 In
0.1878 0.8122 0.0000 In
0.1996 0.1996 0.0000 In
0.2034 0.5530 0.2007 In
0.2034 0.5530 0.7993 In
0.2966 0.0530 0.2993 In
0.2966 0.0530 0.7007 In
0.3004 0.6996 0.5000 In
0.3122 0.3122 0.5000 In
0.4046 0.4046 0.0000 In
0.4470 0.7966 0.2007 In
0.4470 0.7966 0.7993 In
0.5000 0.5000 0.3357 In
0.5000 0.5000 0.6643 In
0.5530 0.2034 0.2007 In
0.5530 0.2034 0.7993 In
0.5954 0.5954 0.0000 In
0.6878 0.6878 0.5000 In
0.6996 0.3004 0.5000 In
0.7034 0.9470 0.2993 In
0.7034 0.9470 0.7007 In
0.7966 0.4470 0.2007 In
0.7966 0.4470 0.7993 In
0.8004 0.8004 0.0000 In
0.8122 0.1878 0.0000 In
0.9046 0.0954 0.5000 In
0.9470 0.7034 0.2993 In
0.9470 0.7034 0.7007 In
0.1867 0.8133 0.2598 Ir
0.1867 0.8133 0.7402 Ir
0.3133 0.3133 0.2402 Ir
0.3133 0.3133 0.7598 Ir
0.6867 0.6867 0.2402 Ir
0.6867 0.6867 0.7598 Ir
0.8133 0.1867 0.2598 Ir
0.8133 0.1867 0.7402 Ir
0.0000 0.5000 0.0000 Se
0.0000 0.5000 0.5000 Se
0.5000 0.0000 0.0000 Se
0.5000 0.0000 0.5000 Se
```

5.
This record from OQMD via LeMat-Bulk describes a relaxed structure of GdYTl2Pt4. The functional is GGA-PBE.

## Properties
E	-5.75	eV/atom
spin magnetization	0.0	μB per formula unit

Geometry as POSCAR:
```
GdYTl2Pt4
1.0
4.6447 0.0000 0.0000
-2.3223 4.0224 0.0000
0.0000 0.0000 9.0234
Gd Y Tl Pt
1 1 2 4
Direct
0.0000 0.0000 0.0000 Gd
0.6667 0.3333 0.5000 Y
0.3333 0.6667 0.2506 Tl
0.3333 0.6667 0.7494 Tl
0.0000 0.0000 0.3458 Pt
0.0000 0.0000 0.6542 Pt
0.6667 0.3333 0.1548 Pt
0.6667 0.3333 0.8452 Pt
```

6.
This record from OQMD via LeMat-Bulk describes a relaxed structure of HgBiB2. The functional is GGA-PBE.

## Properties
E	-2.53	eV/atom

Geometry as POSCAR:
```
HgBiB2
1.0
6.7164 0.0000 0.0000
0.0000 6.7164 0.0000
0.0000 0.0000 6.7164
Hg Bi B
4 4 8
Direct
0.0000 0.0000 0.0000 Hg
0.0000 0.5000 0.5000 Hg
0.5000 0.0000 0.5000 Hg
0.5000 0.5000 0.0000 Hg
0.2500 0.2500 0.7500 Bi
0.2500 0.7500 0.2500 Bi
0.7500 0.2500 0.2500 Bi
0.7500 0.7500 0.7500 Bi
0.0000 0.0000 0.5000 B
0.0000 0.5000 0.0000 B
0.2500 0.2500 0.2500 B
0.2500 0.7500 0.7500 B
0.5000 0.0000 0.0000 B
0.5000 0.5000 0.5000 B
0.7500 0.2500 0.7500 B
0.7500 0.7500 0.2500 B
```

7.
This record from OQMD via LeMat-Bulk describes a relaxed structure of Na3LiTb2O6. The functional is GGA-PBE.

## Properties
E	-5.84	eV/atom
spin magnetization	2.0	μB per formula unit

Geometry as POSCAR:
```
Na3LiTb2O6
1.0
2.8638 -4.9702 0.0000
2.8638 4.9702 0.0000
-1.8758 0.0000 5.4165
Na Li Tb O
3 1 2 6
Direct
0.0000 0.0000 0.0000 Na
0.3435 0.6565 0.0000 Na
0.6565 0.3435 0.0000 Na
0.5000 0.5000 0.5000 Li
0.1669 0.8331 0.5000 Tb
0.8331 0.1669 0.5000 Tb
0.0849 0.4244 0.2727 O
0.2363 0.2363 0.7229 O
0.4244 0.0849 0.2727 O
0.5756 0.9151 0.7273 O
0.7637 0.7637 0.2771 O
0.9151 0.5756 0.7273 O
```

8.
This record from OQMD via LeMat-Bulk describes a relaxed structure of KErSiSe3. The functional is GGA-PBE.

## Properties
E	-4.58	eV/atom
spin magnetization	0.0	μB per formula unit

Geometry as POSCAR:
```
KErSiSe3
1.0
2.2765 -6.9867 0.0000
2.2765 6.9867 0.0000
0.0000 0.0000 11.0586
K Er Si Se
2 2 2 6
Direct
0.2440 0.7560 0.7500 K
0.7560 0.2440 0.2500 K
0.5000 0.5000 0.0000 Er
0.5000 0.5000 0.5000 Er
0.0278 0.9722 0.2500 Si
0.9722 0.0278 0.7500 Si
0.1253 0.8747 0.0592 Se
0.1253 0.8747 0.4408 Se
0.4492 0.5508 0.2500 Se
0.5508 0.4492 0.7500 Se
0.8747 0.1253 0.5592 Se
0.8747 0.1253 0.9408 Se
```

9.
This record from OQMD via LeMat-Bulk describes a relaxed structure of CsNdSeO. The functional is GGA-PBE.

## Properties
energy above the lowest structure with this stoichiometry	0.090	eV per atom
E	-5.58	eV/atom
spin magnetization	0.0	μB per formula unit

Geometry as POSCAR:
```
CsNdSeO
1.0
4.7706 0.0000 0.0000
0.0000 8.8302 0.0000
0.0000 0.0000 7.0911
Cs Nd Se O
2 2 2 2
Direct
0.0000 0.1967 0.0000 Cs
0.0000 0.8033 0.5000 Cs
0.5000 0.3817 0.4315 Nd
0.5000 0.6183 0.9315 Nd
0.0000 0.2098 0.5074 Se
0.0000 0.7902 0.0074 Se
0.5000 0.4227 0.1234 O
0.5000 0.5773 0.6234 O
```

10.
This record from OQMD via LeMat-Bulk describes a relaxed structure of LiLa2AgSb4. The functional is GGA-PBE.

## Properties
E	-4.73	eV/atom
spin magnetization	0.0	μB per formula unit

Geometry as POSCAR:
```
LiLa2AgSb4
1.0
4.4103 0.0000 0.0000
0.0000 4.4103 0.0000
0.0000 0.0000 10.9518
Li La Ag Sb
1 2 1 4
Direct
0.0000 0.0000 0.0000 Li
0.0000 0.5000 0.2612 La
0.5000 0.0000 0.7388 La
0.5000 0.5000 0.0000 Ag
0.0000 0.0000 0.5000 Sb
0.0000 0.5000 0.8346 Sb
0.5000 0.0000 0.1654 Sb
0.5000 0.5000 0.5000 Sb
```

11.
This record from OQMD via LeMat-Bulk describes a relaxed structure of YHo2Er3Bi2Os. The functional is GGA-PBE.

## Properties
E	-5.94	eV/atom
spin magnetization	0.0	μB per formula unit

Geometry as POSCAR:
```
YHo2Er3Bi2Os
1.0
4.2218 0.0000 0.0000
0.0000 7.1580 4.1278
0.0000 -7.1580 4.1278
Y Ho Er Bi Os
1 2 3 2 1
Direct
0.0000 0.0000 0.0000 Y
0.0000 0.5288 0.7632 Ho
0.0000 0.7632 0.5288 Ho
0.5000 0.1483 0.7628 Er
0.5000 0.3792 0.3792 Er
0.5000 0.7628 0.1483 Er
0.0000 0.0967 0.4305 Bi
0.0000 0.4305 0.0967 Bi
0.5000 0.7611 0.7611 Os
```

12.
This record from OQMD via LeMat-Bulk describes a relaxed structure of Li2ScZn. The functional is GGA-PBE.

## Properties
E	-2.89	eV/atom
spin magnetization	0.7	μB per formula unit

Geometry as POSCAR:
```
Li2ScZn
1.0
6.4906 0.0000 0.0000
0.0000 6.4906 0.0000
0.0000 0.0000 6.4906
Li Sc Zn
8 4 4
Direct
0.0000 0.0000 0.0000 Li
0.0000 0.5000 0.5000 Li
0.2500 0.2500 0.2500 Li
0.2500 0.7500 0.7500 Li
0.5000 0.0000 0.5000 Li
0.5000 0.5000 0.0000 Li
0.7500 0.2500 0.7500 Li
0.7500 0.7500 0.2500 Li
0.2500 0.2500 0.7500 Sc
0.2500 0.7500 0.2500 Sc
0.7500 0.2500 0.2500 Sc
0.7500 0.7500 0.7500 Sc
0.0000 0.0000 0.5000 Zn
0.0000 0.5000 0.0000 Zn
0.5000 0.0000 0.0000 Zn
0.5000 0.5000 0.5000 Zn
```